[1]
La2ReTc | Alexandria via LeMat-Bulk | PBE-GGA | relaxed; space group = P4/mmm, No. 123; ΔE to the lowest computed polymorph = 462 meV per atom; calculated formation energy = 58.89 kJ per mole of atoms
1.0
5.0471 -0.0107 0.0000
0.0107 5.0471 0.0000
0.0000 0.0000 3.5700
Tc La Re
1 2 1
direct
0.0000 0.5000 0.5000
0.0000 0.0000 0.0000
0.5000 0.5000 0.0000
0.5000 0.0000 0.5000

[2]
HoThCd6 | Alexandria via LeMat-Bulk | PBE-GGA | relaxed; space group = Amm2, No. 38; calculated formation energy = -18.97 kJ per mole of atoms
1.0
-3.6173 -2.4930 2.2866
4.2144 -1.6737 4.8424
-3.3194 5.6683 0.9289
Cd Th Ho
6 1 1
direct
0.0000 0.0621 0.3785
0.5000 0.4461 0.1245
0.0000 0.5751 0.4249
0.0000 0.6215 0.9379
0.5000 0.8755 0.5539
0.5000 0.9199 0.0801
0.0000 0.1071 0.8929
0.5000 0.3925 0.6075

[3]
Th2NiAu | Alexandria via LeMat-Bulk | PBE-GGA | relaxed; space group = P4/mmm, No. 123; calculated formation energy = -39.57 kJ per mole of atoms
1.0
-0.5731 2.7061 2.2189
0.7743 -2.0947 2.7546
7.2069 1.9633 -0.5329
Th Au Ni
2 1 1
direct
0.0000 0.0000 0.2270
0.0000 0.0000 0.7730
0.5000 0.5000 0.5000
0.5000 0.5000 0.0000

[4]
Ba3AsP | Alexandria via LeMat-Bulk | PBE-GGA | relaxed; space group = C222, No. 21; ΔE to the lowest computed polymorph = 55 meV per atom; calculated formation energy = -90.87 kJ per mole of atoms
1.0
-0.2407 -3.7533 -2.6209
-1.6345 -5.3762 7.8468
-9.4538 -0.6947 1.8572
As Ba P
2 6 2
direct
0.3631 0.6940 0.7465
0.8634 0.1940 0.2466
0.8618 0.7616 0.4463
0.8645 0.9937 0.6798
0.3633 0.3400 0.3926
0.3635 0.0484 0.1002
0.8642 0.3946 0.8131
0.8623 0.6267 0.0465
0.3621 0.6942 0.2463
0.3641 0.1942 0.7464

[5]
Pr2HoSc | Alexandria via LeMat-Bulk | PBE-GGA | relaxed; space group = Fm-3m, No. 225; ΔE to the lowest computed polymorph = 55 meV per atom; calculated formation energy = 9.20 kJ per mole of atoms
1.0
5.6514 0.0000 0.0000
2.8257 4.8943 0.0000
2.8257 1.6314 4.6143
Sc Pr Ho
1 2 1
direct
0.5000 0.5000 0.5000
0.7500 0.7500 0.7500
0.2500 0.2500 0.2500
0.0000 0.0000 0.0000

[6]
UReN2 | Alexandria via LeMat-Bulk | PBE-GGA | relaxed; space group = R-3m, No. 166; formation energy from raw total energies = 0.106 eV/atom
1.0
-0.6567 2.4489 1.7816
-2.9503 0.7261 0.6094
-1.0477 -2.7206 6.0483
N U Re
2 1 1
direct
0.8918 0.8918 0.3245
0.1082 0.1082 0.6755
0.0000 0.0000 0.0000
0.5000 0.5000 0.5000

[7]
AcNd6Tm4 | Alexandria via LeMat-Bulk | PBE-GGA | relaxed; space group = Cmcm, No. 63; calculated formation energy = 11.65 kJ per mole of atoms
1.0
5.9361 0.0000 0.0000
-2.9681 4.9067 0.0000
0.0000 0.0000 26.0033
Nd Tm Ac
12 8 2
direct
0.8037 0.6073 0.0955
0.5000 0.0000 0.5000
0.8753 0.7506 0.6785
0.4475 0.8950 0.2500
0.5000 0.0000 0.0000
0.8037 0.6073 0.4045
0.8753 0.7506 0.8215
0.5525 0.1050 0.7500
0.1247 0.2494 0.1785
0.1247 0.2494 0.3215
0.1963 0.3927 0.5955
0.1963 0.3927 0.9045
0.4608 0.9216 0.1244
0.4608 0.9216 0.3756
0.5392 0.0784 0.6244
0.8475 0.6949 0.5435
0.1525 0.3051 0.4565
0.1525 0.3051 0.0435
0.5392 0.0784 0.8756
0.8475 0.6949 0.9565
0.2109 0.4218 0.7500
0.7891 0.5782 0.2500

[8]
Rb5RhO4 | Alexandria via LeMat-Bulk | PBE-GGA | relaxed; space group = C2/m, No. 12; formation energy from raw total energies = -0.775 eV/atom; ΔE to the lowest computed polymorph = 166 meV per atom
1.0
-2.5172 -1.9927 1.5184
3.0958 1.0805 6.5502
-4.9629 9.1236 -0.4073
Rb O Rh
5 4 1
direct
0.8675 0.7228 0.7349
0.5000 0.5000 0.0000
0.1325 0.2772 0.2651
0.1331 0.8087 0.2661
0.8669 0.1913 0.7339
0.9996 0.1830 0.9991
0.6011 0.0326 0.2022
0.0004 0.8170 0.0009
0.3989 0.9674 0.7978
0.5000 0.0000 0.0000

What did the sixth record say?
UReN2 | Alexandria via LeMat-Bulk | PBE-GGA | relaxed; space group = R-3m, No. 166; formation energy from raw total energies = 0.106 eV/atom
1.0
-0.6567 2.4489 1.7816
-2.9503 0.7261 0.6094
-1.0477 -2.7206 6.0483
N U Re
2 1 1
direct
0.8918 0.8918 0.3245
0.1082 0.1082 0.6755
0.0000 0.0000 0.0000
0.5000 0.5000 0.5000